(1)
This record from Alexandria describes a geometry-optimized CePmNiIr structure. The functional is PBE-GGA.

Summary:
SG = F-43m (216)
D(E_F) = 7.4 states/eV per cell
E above lowest polymorph = 88 meV per atom

```
CePmNiIr
1.0
4.929 0.000 0.000
2.465 4.269 0.000
2.465 1.423 4.025
Ni Ir Ce Pm
1 1 1 1
direct
0.250 0.250 0.250
0.750 0.750 0.750
0.000 0.000 0.000
0.500 0.500 0.500
```

=====

(2)
This record from Alexandria describes a geometry-optimized Ce2Ni5Ir2Pt structure. The functional is PBE-GGA.

Summary:
SG = P4/mbm (127)
D(E_F) = 20.1 states/eV per cell

```
Ce2Ni5Ir2Pt
1.0
3.876 0.000 0.000
0.000 9.040 0.000
0.000 0.000 9.040
Ce Ni Ir Pt
4 10 4 2
direct
0.000 0.678 0.178
0.000 0.322 0.822
0.000 0.178 0.322
0.000 0.822 0.678
0.500 0.196 0.054
0.500 0.804 0.946
0.500 0.054 0.804
0.500 0.696 0.446
0.500 0.946 0.196
0.500 0.304 0.554
0.500 0.554 0.696
0.500 0.446 0.304
0.500 0.500 0.000
0.500 0.000 0.500
0.000 0.124 0.624
0.000 0.876 0.376
0.000 0.624 0.876
0.000 0.376 0.124
0.000 0.000 0.000
0.000 0.500 0.500
```

=====

(3)
This record from Alexandria describes a geometry-optimized Ce2Ni5Ir2Rh structure. The functional is PBE-GGA.

Summary:
SG = P4/mbm (127)
D(E_F) = 23.4 states/eV per cell

```
Ce2Ni5Ir2Rh
1.0
3.839 0.000 0.000
0.000 9.056 0.000
0.000 0.000 9.056
Ce Ni Ir Rh
4 10 4 2
direct
0.000 0.678 0.178
0.000 0.322 0.822
0.000 0.178 0.322
0.000 0.822 0.678
0.500 0.195 0.053
0.500 0.805 0.947
0.500 0.053 0.805
0.500 0.695 0.447
0.500 0.947 0.195
0.500 0.305 0.553
0.500 0.553 0.695
0.500 0.447 0.305
0.500 0.500 0.000
0.500 0.000 0.500
0.000 0.125 0.625
0.000 0.875 0.375
0.000 0.625 0.875
0.000 0.375 0.125
0.000 0.000 0.000
0.000 0.500 0.500
```

=====

(4)
This record from Alexandria describes a geometry-optimized CeScNiIr structure. The functional is PBE-GGA.

Summary:
SG = F-43m (216)
D(E_F) = 6.6 states/eV per cell

```
CeScNiIr
1.0
-0.865 -4.326 1.735
-0.820 -3.617 -2.952
3.226 -3.439 -0.489
Sc Ni Ir Ce
1 1 1 1
direct
0.500 0.500 0.500
0.250 0.250 0.250
0.750 0.750 0.750
0.000 0.000 0.000
```

=====

| no. | E_form (eV per atom) |
| --- | --- |
| 1 | -0.4564 |
| 2 | -0.3442 |
| 3 | -0.2617 |
| 4 | -0.5591 |